1.
DFT (PBE-GGA) results for crystalline Cu3Ag2 at its relaxed geometry.

a = 2.8028 Å, b = 3.5168 Å, c = 14.5250 Å
α = 90.00°, β = 90.00°, γ = 90.00°
Fractional coordinates of all 10 atoms:
Cu  0.2500  0.2500  0.0440
Cu  0.2500  0.2500  0.6645
Cu  0.2500  0.2500  0.8704
Cu  0.7500  0.7500  0.1296
Cu  0.7500  0.7500  0.3355
Cu  0.7500  0.7500  0.9560
Ag  0.2500  0.2500  0.2336
Ag  0.2500  0.2500  0.4383
Ag  0.7500  0.7500  0.5617
Ag  0.7500  0.7500  0.7664

Output
Polymorph energy (0 for the lowest one) = 0.97 kcal/mol of atoms
ρ = 9.4 g/cm3
Volume = 143.2 Å³/cell
Formation energy from the elements = 0.0841 eV/atom


2.
DFT (PBE-GGA) results for crystalline CuAg at its relaxed geometry.

a = 4.8366 Å, b = 4.8366 Å, c = 11.5878 Å
α = 98.99°, β = 98.99°, γ = 33.94°
Fractional coordinates of all 10 atoms:
Cu  0.0000  0.0000  0.0000
Cu  0.3101  0.3101  0.0854
Cu  0.4996  0.4996  0.4787
Cu  0.6188  0.6188  0.1713
Cu  0.8243  0.8243  0.5780
Ag  0.1176  0.1176  0.6683
Ag  0.2061  0.2061  0.3857
Ag  0.4104  0.4104  0.7864
Ag  0.7013  0.7013  0.8978
Ag  0.9159  0.9159  0.2737

Output
ρ = 9.5 g/cm3
Volume = 149.3 Å³/cell
Formation energy from the elements = 0.0863 eV/atom


3.
DFT (PBE-GGA) results for crystalline Cu4Ag3 at its relaxed geometry.

a = 15.5569 Å, b = 15.5569 Å, c = 15.5569 Å
α = 10.19°, β = 10.19°, γ = 10.19°
Fractional coordinates of all 7 atoms:
Cu  0.0753  0.0753  0.0753
Cu  0.2155  0.2155  0.2155
Cu  0.7845  0.7845  0.7845
Cu  0.9247  0.9247  0.9247
Ag  0.3604  0.3604  0.3604
Ag  0.5000  0.5000  0.5000
Ag  0.6396  0.6396  0.6396

Output
Polymorph energy (0 for the lowest one) = 1.29 kcal/mol of atoms
ρ = 9.4 g/cm3
Volume = 102.3 Å³/cell
Formation energy from the elements = 0.1044 eV/atom


4.
DFT (PBE-GGA) results for crystalline Cu5Ag3 at its relaxed geometry.

a = 5.6941 Å, b = 14.1751 Å, c = 2.8115 Å
α = 90.00°, β = 90.00°, γ = 90.00°
Fractional coordinates of all 16 atoms:
Cu  0.0000  0.0000  0.0000
Cu  0.2243  0.1189  0.5000
Cu  0.2243  0.8811  0.5000
Cu  0.2757  0.3811  0.5000
Cu  0.2757  0.6189  0.5000
Cu  0.5000  0.5000  0.0000
Cu  0.7243  0.3811  0.5000
Cu  0.7243  0.6189  0.5000
Cu  0.7757  0.1189  0.5000
Cu  0.7757  0.8811  0.5000
Ag  0.0000  0.2594  0.0000
Ag  0.0000  0.5000  0.0000
Ag  0.0000  0.7406  0.0000
Ag  0.5000  0.0000  0.0000
Ag  0.5000  0.2406  0.0000
Ag  0.5000  0.7594  0.0000

Output
Polymorph energy (0 for the lowest one) = 0.94 kcal/mol of atoms
ρ = 9.4 g/cm3
Volume = 226.9 Å³/cell
Formation energy from the elements = 0.0877 eV/atom


5.
DFT (PBE-GGA) results for crystalline CuAg2 at its relaxed geometry.

a = 4.8760 Å, b = 2.8630 Å, c = 6.9089 Å
α = 90.00°, β = 92.69°, γ = 90.00°
Fractional coordinates of all 6 atoms:
Cu  0.0826  0.2500  0.1501
Cu  0.9174  0.7500  0.8499
Ag  0.2435  0.7500  0.4800
Ag  0.4001  0.2500  0.8334
Ag  0.5999  0.7500  0.1666
Ag  0.7565  0.2500  0.5200

Output
Polymorph energy (0 for the lowest one) = 1.20 kcal/mol of atoms
ρ = 9.6 g/cm3
Volume = 96.3 Å³/cell
Formation energy from the elements = 0.0827 eV/atom


6.
DFT (PBE-GGA) results for crystalline CuAg2 at its relaxed geometry.

a = 17.3939 Å, b = 17.3939 Å, c = 17.3939 Å
α = 170.50°, β = 170.50°, γ = 13.45°
Fractional coordinates of all 9 atoms:
Cu  0.0000  0.0000  0.0000
Cu  0.2100  0.2100  0.0000
Cu  0.6676  0.6676  0.0000
Ag  0.1148  0.1148  0.0000
Ag  0.3246  0.3246  0.0000
Ag  0.4477  0.4477  0.0000
Ag  0.5526  0.5526  0.0000
Ag  0.7626  0.7626  0.0000
Ag  0.8860  0.8860  0.0000

Output
Polymorph energy (0 for the lowest one) = 0.42 kcal/mol of atoms
ρ = 9.7 g/cm3
Volume = 143.4 Å³/cell
Formation energy from the elements = 0.0492 eV/atom


7.
DFT (PBE-GGA) results for crystalline Cu5Ag3 at its relaxed geometry.

a = 5.4693 Å, b = 3.8333 Å, c = 5.9894 Å
α = 90.00°, β = 115.21°, γ = 90.00°
Fractional coordinates of all 8 atoms:
Cu  0.0000  0.0000  0.0000
Cu  0.2637  0.0000  0.4906
Cu  0.3829  0.5000  0.2676
Cu  0.6171  0.5000  0.7324
Cu  0.7363  0.0000  0.5094
Ag  0.1148  0.5000  0.7517
Ag  0.5000  0.0000  0.0000
Ag  0.8852  0.5000  0.2483

Output
Polymorph energy (0 for the lowest one) = 1.06 kcal/mol of atoms
ρ = 9.4 g/cm3
Volume = 113.6 Å³/cell
Formation energy from the elements = 0.0927 eV/atom


8.
DFT (PBE-GGA) results for crystalline Cu3Ag2 at its relaxed geometry.

a = 4.7246 Å, b = 4.7246 Å, c = 11.6216 Å
α = 99.95°, β = 99.95°, γ = 33.94°
Fractional coordinates of all 10 atoms:
Cu  0.0379  0.0379  0.3602
Cu  0.3535  0.3535  0.4649
Cu  0.4488  0.4488  0.1653
Cu  0.5512  0.5512  0.8347
Cu  0.6465  0.6465  0.5351
Cu  0.9621  0.9621  0.6398
Ag  0.1461  0.1461  0.0540
Ag  0.2539  0.2539  0.7311
Ag  0.7461  0.7461  0.2689
Ag  0.8539  0.8539  0.9460

Output
Polymorph energy (0 for the lowest one) = 1.11 kcal/mol of atoms
ρ = 9.5 g/cm3
Volume = 142.5 Å³/cell
Formation energy from the elements = 0.0903 eV/atom


Q: Look up the formation energy from the elements of the third one.
A: 0.1044 eV/atom


Q: What is the ρ in the seventh record?
A: 9.4 g/cm3


Q: Look up the formation energy from the elements of the second one.
A: 0.0863 eV/atom


Q: Which value of formation energy from the elements does entry 1 give?
A: 0.0841 eV/atom